Here is a relaxed BaVB2Se8 crystal from Alexandria. Energies are from GGA-PBE.

abc: 6.1273 6.1273 8.1185
angles: 90.00 90.00 120.00
Closest atoms and distances in Å follow each position.
Fractional positions:
Ba  0.0000  0.0000  0.0000  12 Se 3.54-3.56
V  0.0000  0.0000  0.5000  6 Se 2.48
B  0.3333  0.6667  0.7279  4 Se 2.04-2.07
B  0.6667  0.3333  0.2721  4 Se 2.04-2.07
Se  0.0027  0.3527  0.6506  1 B 2.07
Se  0.3333  0.6667  0.9794  1 B 2.04
Se  0.3500  0.9973  0.6506  1 B 2.07
Se  0.3527  0.3500  0.3494  1 B 2.07
Se  0.6473  0.6500  0.6506  1 B 2.07
Se  0.6500  0.0027  0.3494  1 B 2.07
Se  0.6667  0.3333  0.0206  1 B 2.04
Se  0.9973  0.6473  0.3494  1 B 2.07

Properties
N(E_F) ... 6.3 states/eV per cell
Calculated total energy ... -57.097 eV per cell
SG ... P-3
Magnetization ... 0.00 μB/f.u.
Formation energy (no corrections) ... -0.4020 eV/atom